Below is a relaxed structure of K2ReMo, with properties calculated at the PBE level.

Results
Fermi-level density of states (states/eV/f.u.): 3.5
Electronic total energy (eV per atom): -4.93
Energy above the most stable polymorph in this dataset (meV per atom): 590
ΔH_f (0 K) (eV per formula unit): 5.8

Cell: 6.7039 6.7039 2.7223 Å, 81.49 81.49 131.77°
Closest atoms and distances in Å follow each position.
Fractional positions:
K1 0.0000 0.0000 0.0000  4 K 2.72-2.74
K2 0.5000 0.5000 0.0000  4 K 2.72-2.74
Mo1 0.5000 0.0000 0.5000  2 Mo 2.72, 2 Re 2.74
Re1 0.0000 0.5000 0.5000  2 Re 2.72, 2 Mo 2.74

Below is a relaxed structure of Ac2Al3Hg4, with properties calculated at the PBE level.

Results
Fermi-level density of states (states/eV/f.u.): 6.5
Electronic total energy (eV per atom): -2.58
ΔH_f (0 K) (eV per formula unit): -2.6

Cell: 6.3539 8.5955 8.8813 Å, 90.00 110.96 90.00°
Closest atoms and distances in Å follow each position.
Fractional positions:
Ac1 0.1151 0.5903 0.2302  8 Hg 3.41-3.50, 6 Al 3.48-3.79
Ac2 0.8849 0.4097 0.7698  8 Hg 3.41-3.50, 6 Al 3.48-3.79
Ac3 0.3849 0.0903 0.7698  8 Hg 3.41-3.50, 6 Al 3.48-3.79
Ac4 0.6151 0.9097 0.2302  8 Hg 3.41-3.50, 6 Al 3.48-3.79
Al1 0.0000 0.0000 0.0000  6 Hg 2.81-3.05
Al2 0.5000 0.5000 0.0000  6 Hg 2.81-3.05
Al3 0.5328 0.7500 0.5655  5 Hg 2.74-2.98
Al4 0.9672 0.2500 0.4345  5 Hg 2.74-2.98
Al5 0.4672 0.2500 0.4345  5 Hg 2.74-2.98
Al6 0.0328 0.7500 0.5655  5 Hg 2.74-2.98
Hg1 0.6980 0.7500 0.8959  3 Al 2.74-2.81
Hg2 0.8020 0.2500 0.1041  3 Al 2.74-2.81
Hg3 0.3020 0.2500 0.1041  3 Al 2.74-2.81
Hg4 0.1980 0.7500 0.8959  3 Al 2.74-2.81
Hg5 0.1834 0.9713 0.3669  5 Al 2.93-3.05
Hg6 0.8166 0.0287 0.6331  5 Al 2.93-3.05
Hg7 0.3166 0.4713 0.6331  5 Al 2.93-3.05
Hg8 0.6834 0.5287 0.3669  5 Al 2.93-3.05

Below is a relaxed structure of LaMn5, with properties calculated at the PBE level.

Results
Fermi-level density of states (states/eV/f.u.): 7.6
Electronic total energy (eV per atom): -8.07
ΔH_f (0 K) (eV per formula unit): 2.3

Cell: 7.3490 7.3490 3.8354 Å, 90.00 90.00 149.58°
Closest atoms and distances in Å follow each position.
Fractional positions:
La1 0.0080 0.9920 0.0000  12 Mn 3.12-3.41
Mn1 0.7060 0.2940 0.0000  6 Mn 2.30-2.50
Mn2 0.3119 0.6881 0.0000  8 Mn 2.44-2.72
Mn3 0.6162 0.3838 0.5000  4 Mn 2.30-2.31
Mn4 0.2054 0.7946 0.5000  6 Mn 2.31-2.51
Mn5 0.8192 0.1808 0.5000  8 Mn 2.50-2.72